# OsRh2 | Alexandria | meta-GGA SCAN | single point on PBEsol structure
# Formation energy (eV per formula unit): 0.06
# Crystal system: tetragonal
# Relative energy among the computed polymorphs (meV per atom): 2.5
# V (Å³ per cell): 40.9
# Space group: I4/mmm, No. 139
data_OsRh2
_chemical_formula_sum 'Os1 Rh2'
_cell_length_a 2.680
_cell_length_b 2.680
_cell_length_c 5.995
_cell_angle_alpha 102.92
_cell_angle_beta 102.92
_cell_angle_gamma 90.00
_space_group_name_H-M_alt 'P 1'
_space_group_IT_number 1
loop_
_space_group_symop_operation_xyz
'x,y,z'
loop_
_atom_site_label
_atom_site_type_symbol
_atom_site_fract_x
_atom_site_fract_y
_atom_site_fract_z
_atom_site_occupancy
Os1 Os 0.000 0.000 0.000 1
Rh1 Rh 0.337 0.337 0.675 1
Rh2 Rh 0.663 0.663 0.325 1

***

# AlHg2W | Alexandria | meta-GGA SCAN | single point on PBEsol structure
# Formation energy (eV per formula unit): 2.29
# Crystal system: orthorhombic
# V (Å³ per cell): 70.9
# Space group: Cmmm, No. 65
data_AlHg2W
_chemical_formula_sum 'Al1 Hg2 W1'
_cell_length_a 2.935
_cell_length_b 5.135
_cell_length_c 5.135
_cell_angle_alpha 113.65
_cell_angle_beta 90.00
_cell_angle_gamma 90.00
_space_group_name_H-M_alt 'P 1'
_space_group_IT_number 1
loop_
_space_group_symop_operation_xyz
'x,y,z'
loop_
_atom_site_label
_atom_site_type_symbol
_atom_site_fract_x
_atom_site_fract_y
_atom_site_fract_z
_atom_site_occupancy
Hg1 Hg 0.000 0.500 0.000 1
Hg2 Hg 0.000 0.000 0.500 1
W1 W 0.500 0.000 0.000 1
Al1 Al 0.500 0.500 0.500 1

***

# ScTc2AgRu | Alexandria | meta-GGA SCAN | single point on PBEsol structure
# Formation energy (eV per formula unit): 9.39
# Crystal system: tetragonal
# V (Å³ per cell): 91.1
# Space group: P4/mmm, No. 123
data_ScTc2AgRu
_chemical_formula_sum 'Sc1 Tc2 Ag1 Ru1'
_cell_length_a 4.505
_cell_length_b 4.497
_cell_length_c 4.497
_cell_angle_alpha 90.00
_cell_angle_beta 90.00
_cell_angle_gamma 90.00
_space_group_name_H-M_alt 'P 1'
_space_group_IT_number 1
loop_
_space_group_symop_operation_xyz
'x,y,z'
loop_
_atom_site_label
_atom_site_type_symbol
_atom_site_fract_x
_atom_site_fract_y
_atom_site_fract_z
_atom_site_occupancy
Sc1 Sc 0.000 0.000 0.000 1
Ru1 Ru 0.500 0.000 0.000 1
Tc1 Tc 0.000 0.000 0.500 1
Tc2 Tc 0.000 0.500 0.000 1
Ag1 Ag 0.500 0.500 0.500 1

***

# CaZnSi2 | Alexandria | meta-GGA SCAN | single point on PBEsol structure
# Uncorrected formation energy (eV/atom): 0.003
# Crystal system: orthorhombic
# V (Å³ per cell): 74.9
# Space group: Pmmm, No. 47
data_CaZnSi2
_chemical_formula_sum 'Ca1 Zn1 Si2'
_cell_length_a 3.093
_cell_length_b 4.098
_cell_length_c 5.908
_cell_angle_alpha 90.00
_cell_angle_beta 90.00
_cell_angle_gamma 90.00
_space_group_name_H-M_alt 'P 1'
_space_group_IT_number 1
loop_
_space_group_symop_operation_xyz
'x,y,z'
loop_
_atom_site_label
_atom_site_type_symbol
_atom_site_fract_x
_atom_site_fract_y
_atom_site_fract_z
_atom_site_occupancy
Ca1 Ca 0.000 0.500 0.000 1
Si1 Si 0.500 0.000 0.281 1
Si2 Si 0.500 0.000 0.719 1
Zn1 Zn 0.500 0.500 0.500 1

***

# K2LiPb | Alexandria | meta-GGA SCAN | single point on PBEsol structure
# Formation energy (eV per formula unit): -0.20
# Crystal system: monoclinic
# V (Å³ per cell): 143.0
# Space group: C2/m, No. 12
data_K2LiPb
_chemical_formula_sum 'K2 Li1 Pb1'
_cell_length_a 4.104
_cell_length_b 6.258
_cell_length_c 6.258
_cell_angle_alpha 117.15
_cell_angle_beta 90.55
_cell_angle_gamma 90.55
_space_group_name_H-M_alt 'P 1'
_space_group_IT_number 1
loop_
_space_group_symop_operation_xyz
'x,y,z'
loop_
_atom_site_label
_atom_site_type_symbol
_atom_site_fract_x
_atom_site_fract_y
_atom_site_fract_z
_atom_site_occupancy
K1 K 0.000 0.000 0.500 1
K2 K 0.000 0.500 0.000 1
Li1 Li 0.500 0.500 0.500 1
Pb1 Pb 0.500 0.000 0.000 1

***

# PrCoSb2 | Alexandria | meta-GGA SCAN | single point on PBEsol structure
# Uncorrected formation energy (eV/atom): -0.686
# Crystal system: tetragonal
# V (Å³ per cell): 182.8
# Space group: P4/nmm, No. 129
data_PrCoSb2
_chemical_formula_sum 'Pr2 Co2 Sb4'
_cell_length_a 4.322
_cell_length_b 4.322
_cell_length_c 9.788
_cell_angle_alpha 90.00
_cell_angle_beta 90.00
_cell_angle_gamma 90.00
_space_group_name_H-M_alt 'P 1'
_space_group_IT_number 1
loop_
_space_group_symop_operation_xyz
'x,y,z'
loop_
_atom_site_label
_atom_site_type_symbol
_atom_site_fract_x
_atom_site_fract_y
_atom_site_fract_z
_atom_site_occupancy
Pr1 Pr 0.000 0.500 0.742 1
Pr2 Pr 0.500 0.000 0.258 1
Sb1 Sb 0.500 0.500 0.000 1
Sb2 Sb 0.000 0.000 0.000 1
Sb3 Sb 0.000 0.500 0.368 1
Sb4 Sb 0.500 0.000 0.632 1
Co1 Co 0.500 0.500 0.500 1
Co2 Co 0.000 0.000 0.500 1